PBE-GGA KNa2CdRh, optimized geometry; formation energy = 0.893 eV/atom; D(E_F) = 0.99 states/eV/cell; density = 3.221 Mg/m³; E_tot = -1.508 eV per atom
1.0
-1.724 -1.780 5.033
3.537 -3.423 0.001
3.499 3.617 2.478
Cd K Na Rh
1 1 2 1
Cartesian
2.656 -0.793 3.756
0.000 0.000 0.000
-0.862 -0.890 2.516
1.749 1.809 1.239
1.769 -1.711 0.001